A relaxed structure of Ba2CaPt, computed with GGA-PBE.

```
Ba2CaPt
1.0
-1.9131 2.3843 8.9645
1.9131 -2.3843 8.9645
1.9131 2.3843 -8.9645
Ba Ca Pt
2 1 1
Direct
0.1525 0.1525 0.0000 Ba
0.8475 0.8475 0.0000 Ba
0.5000 0.0000 0.5000 Ca
0.0000 0.5000 0.5000 Pt
```

Computed properties:
* SG: No. 71
* formation energy from the elements: -383 meV per atom
* E above lowest polymorph: 151 meV/atom
* total moment: 0.00 μB per formula unit

A relaxed structure of NaSi, computed with GGA-PBE.

```
NaSi
1.0
5.2669 -1.9084 0.0000
5.2669 1.9084 0.0000
-3.2061 0.0000 4.9258
Na Si
2 2
Direct
0.0000 0.0000 0.0000 Na
0.6331 0.6331 0.6339 Na
0.3181 0.3181 0.5138 Si
0.8075 0.8075 0.2755 Si
```

Computed properties:
* SG: No. 8
* E above lowest polymorph: 100 meV/atom
* total moment: 0.00 μB per formula unit

A relaxed structure of AsAuC3, computed with GGA-PBE.

```
AsAuC3
1.0
3.9474 0.0000 0.0000
0.0000 3.9474 0.0000
0.0000 0.0000 3.9474
As Au C
1 1 3
Direct
0.0000 0.0000 0.0000 As
0.5000 0.5000 0.5000 Au
0.0000 0.0000 0.5000 C
0.0000 0.5000 0.0000 C
0.5000 0.0000 0.0000 C
```

Computed properties:
* SG: No. 221
* formation energy from the elements: 2689 meV per atom
* E above lowest polymorph: 0 meV/atom
* total moment: 0.00 μB per formula unit

A relaxed structure of Rb3Pm3MnS8, computed with GGA-PBE.

```
Rb3Pm3MnS8
1.0
4.0313 2.3275 7.8382
-4.0313 2.3275 7.8382
0.0000 -4.6550 7.8382
Rb Pm Mn S
3 3 1 8
Direct
0.0000 0.5000 0.5000 Rb
0.5000 0.0000 0.5000 Rb
0.5000 0.5000 0.0000 Rb
0.0000 0.0000 0.5000 Pm
0.0000 0.5000 0.0000 Pm
0.5000 0.0000 0.0000 Pm
0.5000 0.5000 0.5000 Mn
0.2328 0.2328 0.2328 S
0.2667 0.7050 0.7050 S
0.2950 0.2950 0.7333 S
0.2950 0.7333 0.2950 S
0.7050 0.2667 0.7050 S
0.7050 0.7050 0.2667 S
0.7333 0.2950 0.2950 S
0.7672 0.7672 0.7672 S
```

Computed properties:
* SG: No. 166
* final energy: -5.45 eV per atom
* total moment: 2.97 μB per formula unit

A relaxed structure of BeIn2S4, computed with GGA-PBE.

```
BeIn2S4
1.0
-3.0030 3.0030 5.0258
3.0030 -3.0030 5.0258
3.0030 3.0030 -5.0258
Be In S
1 2 4
Direct
0.0000 0.0000 0.0000 Be
0.0000 0.5000 0.5000 In
0.5000 0.0000 0.5000 In
0.0786 0.6677 0.0000 S
0.3323 0.3323 0.4109 S
0.6677 0.0786 0.0000 S
0.9214 0.9214 0.5891 S
```

Computed properties:
* SG: No. 121
* final energy: -4.25 eV per atom
* total moment: 0.00 μB per formula unit

A relaxed structure of KRh, computed with GGA-PBE.

```
KRh
1.0
3.6761 -4.9274 0.0000
3.6761 4.9274 0.0000
-2.4631 0.0000 3.4925
K Rh
2 2
Direct
0.1917 0.8083 0.0000 K
0.8083 0.1917 0.0000 K
0.5047 0.5047 0.5086 Rh
0.6754 0.6754 0.1779 Rh
```

Computed properties:
* SG: No. 8
* formation energy from the elements: 592 meV per atom
* E above lowest polymorph: 223 meV/atom
* total moment: 0.00 μB per formula unit